one:
A geometry-optimized Na3LiCo structure. Source: the Alexandria database, functional GGA-PBE.

Cell: 5.405 5.405 5.405 Å, 90.00 90.00 90.00°
Space group Pm-3m (No. 221)
Asymmetric unit:
Na 0.000 0.000 0.500 x3
Li 0.500 0.500 0.500 x1
Co 0.000 0.000 0.000 x1

Its volume is 157.9 Å³ per cell.


two:
A geometry-optimized Na3LiCo structure. Source: the Alexandria database, functional GGA-PBE.

Cell: 5.403 5.403 5.403 Å, 90.00 90.00 90.00°
Space group Pm-3m (No. 221)
Asymmetric unit:
Na 0.000 0.000 0.500 x3
Li 0.000 0.000 0.000 x1
Co 0.500 0.500 0.500 x1

Its volume is 157.8 Å³ per cell.


Winner for stability: one